P:
This record from Alexandria describes an optimized crystal structure of AgGe2C. The functional is PBE.

abc: 4.5034 4.5034 4.5034
angles: 60.00 60.00 60.00
Fractional coordinates of all 4 atoms:
1 Ag 0.0000 0.0000 0.0000
2 Ge 0.2500 0.2500 0.2500
3 Ge 0.7500 0.7500 0.7500
4 C 0.5000 0.5000 0.5000

Properties
V = 64.6 Å³/f.u.
M_tot = 0.00 μB/atom
Space group = Fm-3m, No. 225

Q:
This record from Alexandria describes an optimized crystal structure of AgGe2C. The functional is PBE.

abc: 5.9967 5.9967 5.9967
angles: 124.42 124.42 82.51
Fractional coordinates of all 8 atoms:
1 Ag 0.0000 0.0000 0.0000
2 Ag 0.7500 0.2500 0.5000
3 Ge 0.2052 0.6250 0.0802
4 Ge 0.3750 0.4552 0.5802
5 Ge 0.5448 0.1250 0.9198
6 Ge 0.8750 0.7948 0.4198
7 C 0.2500 0.7500 0.5000
8 C 0.5000 0.5000 0.0000

Properties
V = 70.5 Å³/f.u.
M_tot = 0.00 μB/atom
Space group = I-42d, No. 122

Pick Q: it beats the second-best structure by 71.0 kJ/mol of atoms.

P:
This record from Alexandria describes an optimized crystal structure of Ag3HgC. The functional is PBE.

abc: 4.4170 4.4170 4.4170
angles: 90.00 90.00 90.00
Fractional coordinates of all 5 atoms:
1 Ag 0.0000 0.0000 0.5000
2 Ag 0.0000 0.5000 0.0000
3 Ag 0.5000 0.0000 0.0000
4 Hg 0.5000 0.5000 0.5000
5 C 0.0000 0.0000 0.0000

Properties
V = 86.2 Å³/f.u.
M_tot = 0.00 μB/atom
Space group = Pm-3m, No. 221

Q:
This record from Alexandria describes an optimized crystal structure of Ag3HgC. The functional is PBE.

abc: 5.2795 5.2795 5.2795
angles: 90.00 90.00 90.00
Fractional coordinates of all 5 atoms:
1 Ag 0.0000 0.0000 0.5000
2 Ag 0.0000 0.5000 0.0000
3 Ag 0.5000 0.0000 0.0000
4 Hg 0.0000 0.0000 0.0000
5 C 0.5000 0.5000 0.5000

Properties
V = 147.2 Å³/f.u.
M_tot = 0.31 μB/atom
Space group = Pm-3m, No. 221

Pick P: it beats the second-best structure by 120.1 kJ/mol of atoms.